The following is a DFT calculation (GGA+U) of a geometry-optimized BeCoSO structure.

Summary:
The value obtained for the calculated density is 3.6 g/cm³. Its offset from the most stable computed form is 989 meV/atom. The space group is P4/nmm. The value obtained for the energy is -38.49 eV per cell.

Lattice parameters (Å, degrees): 3.570 3.570 8.408 90.00 90.00 90.00
Sites, in units of the cell vectors:
S: 0.750 0.750 0.854
Co: 0.250 0.250 0.435
O: 0.250 0.750 0.500
Be: 0.250 0.250 0.904
O: 0.750 0.250 0.500
S: 0.250 0.250 0.146
Co: 0.750 0.750 0.565
Be: 0.750 0.750 0.096